## Tb4Ru2I5 (GGA-PBE)

Data for a geometry-optimized Tb4Ru2I5 structure.

The structure in CIF format:
```
data_Tb4Ru2I5
_cell_length_a 4.0793
_cell_length_b 8.5490
_cell_length_c 11.5793
_cell_angle_alpha 94.80
_cell_angle_beta 100.15
_cell_angle_gamma 90.00
_symmetry_space_group_name_H-M 'P 1'
_symmetry_Int_Tables_number 1
loop_
_symmetry_equiv_pos_as_xyz
'x,y,z'
loop_
_atom_site_label
_atom_site_fract_x
_atom_site_fract_y
_atom_site_fract_z
_atom_site_occupancy
I1 0.1943 0.3301 0.3885 1
I2 0.1636 0.8559 0.3272 1
I3 0.8364 0.1441 0.6728 1
I4 0.8057 0.6699 0.6115 1
I5 0.5000 0.0000 0.0000 1
Ru1 0.5545 0.4950 0.1089 1
Ru2 0.4455 0.5050 0.8911 1
Tb1 0.3396 0.4195 0.6791 1
Tb2 0.9681 0.2957 0.9362 1
Tb3 0.6604 0.5805 0.3209 1
Tb4 0.0319 0.7043 0.0638 1
```

- raw formation energy (eV per atom) = -0.74
- electronic total energy (eV/atom) = -4.8121
- V (Å³/cell) = 396
- density of states at the Fermi level (states/eV/f.u.) = 3.4



## LiGe2W (GGA-PBE)

Data for a geometry-optimized LiGe2W structure.

The structure in CIF format:
```
data_LiGe2W
_cell_length_a 3.9214
_cell_length_b 3.9214
_cell_length_c 9.1662
_cell_angle_alpha 77.65
_cell_angle_beta 77.65
_cell_angle_gamma 90.00
_symmetry_space_group_name_H-M 'P 1'
_symmetry_Int_Tables_number 1
loop_
_symmetry_equiv_pos_as_xyz
'x,y,z'
loop_
_atom_site_label
_atom_site_fract_x
_atom_site_fract_y
_atom_site_fract_z
_atom_site_occupancy
Li1 0.2500 0.7500 0.5000 1
Li2 0.5000 0.5000 0.0000 1
W1 0.0000 0.0000 0.0000 1
W2 0.7500 0.2500 0.5000 1
Ge1 0.6273 0.1250 0.2500 1
Ge2 0.8750 0.8773 0.7500 1
Ge3 0.3750 0.3727 0.7500 1
Ge4 0.1227 0.6250 0.2500 1
```

- excess energy over the best structure of this formula in the dataset (eV/f.u.) = 2.393
- ΔH_f (0 K) (eV/atom) = 0.61
- electronic total energy (eV/atom) = -5.4143
- V (Å³/cell) = 134
- density of states at the Fermi level (states/eV/f.u.) = 4.5



## Er4Pd3Rh (GGA-PBE)

Data for a geometry-optimized Er4Pd3Rh structure.

The structure in CIF format:
```
data_Er4Pd3Rh
_cell_length_a 4.9097
_cell_length_b 6.8572
_cell_length_c 9.8193
_cell_angle_alpha 90.00
_cell_angle_beta 90.00
_cell_angle_gamma 90.00
_symmetry_space_group_name_H-M 'P 1'
_symmetry_Int_Tables_number 1
loop_
_symmetry_equiv_pos_as_xyz
'x,y,z'
loop_
_atom_site_label
_atom_site_fract_x
_atom_site_fract_y
_atom_site_fract_z
_atom_site_occupancy
Er1 0.9995 0.7468 0.2500 1
Er2 0.5000 0.7468 0.5000 1
Er3 0.0005 0.7468 0.7500 1
Er4 0.9995 0.2532 0.2500 1
Er5 0.5000 0.2532 0.0000 1
Er6 0.5000 0.2532 0.5000 1
Er7 0.5000 0.7468 0.0000 1
Er8 0.0005 0.2532 0.7500 1
Pd1 0.4991 0.5000 0.2500 1
Pd2 0.5005 0.0000 0.7500 1
Pd3 0.4995 0.0000 0.2500 1
Pd4 0.5009 0.5000 0.7500 1
Pd5 0.0000 0.0000 0.5000 1
Pd6 0.0000 0.0000 0.0000 1
Rh1 0.0000 0.5000 0.5000 1
Rh2 0.0000 0.5000 0.0000 1
```

- ΔH_f (0 K) (eV/atom) = -0.93
- electronic total energy (eV/atom) = -6.0770
- V (Å³/cell) = 331
- density of states at the Fermi level (states/eV/f.u.) = 4.6



## CaAl2O4 (GGA-PBE)

Data for a geometry-optimized CaAl2O4 structure.

The structure in CIF format:
```
data_CaAl2O4
_cell_length_a 6.0291
_cell_length_b 6.0291
_cell_length_c 6.0305
_cell_angle_alpha 119.98
_cell_angle_beta 119.99
_cell_angle_gamma 90.01
_symmetry_space_group_name_H-M 'P 1'
_symmetry_Int_Tables_number 1
loop_
_symmetry_equiv_pos_as_xyz
'x,y,z'
loop_
_atom_site_label
_atom_site_fract_x
_atom_site_fract_y
_atom_site_fract_z
_atom_site_occupancy
O1 0.8143 0.6048 0.2095 1
O2 0.4357 0.1452 0.2905 1
O3 0.8547 0.1452 0.7095 1
O4 0.3952 0.6047 0.2095 1
O5 0.3953 0.6048 0.7905 1
O6 0.3953 0.1857 0.7905 1
O7 0.8547 0.5643 0.7095 1
O8 0.8548 0.1453 0.2905 1
Al1 0.6250 0.3750 0.2500 1
Al2 0.6250 0.3750 0.7500 1
Al3 0.6250 0.8750 0.2500 1
Al4 0.1250 0.3750 0.7500 1
Ca1 0.0000 0.0000 0.0000 1
Ca2 0.2500 0.7500 0.5000 1
```

- excess energy over the best structure of this formula in the dataset (eV/f.u.) = 0.944
- raw formation energy (eV per atom) = -2.92
- electronic total energy (eV/atom) = -7.1087
- V (Å³/cell) = 155
- density of states at the Fermi level (states/eV/f.u.) = 0.0



## CrPtSe2 (GGA-PBE)

Data for a geometry-optimized CrPtSe2 structure.

The structure in CIF format:
```
data_CrPtSe2
_cell_length_a 6.6564
_cell_length_b 6.6564
_cell_length_c 6.6564
_cell_angle_alpha 146.01
_cell_angle_beta 146.15
_cell_angle_gamma 48.73
_symmetry_space_group_name_H-M 'P 1'
_symmetry_Int_Tables_number 1
loop_
_symmetry_equiv_pos_as_xyz
'x,y,z'
loop_
_atom_site_label
_atom_site_fract_x
_atom_site_fract_y
_atom_site_fract_z
_atom_site_occupancy
Se1 0.8869 0.8869 0.0000 1
Se2 0.6131 0.6131 0.0000 1
Pt1 0.7500 0.2500 0.5000 1
Cr1 0.2500 0.7500 0.5000 1
```

- excess energy over the best structure of this formula in the dataset (eV/f.u.) = 0.000
- raw formation energy (eV per atom) = -0.29
- electronic total energy (eV/atom) = -5.9502
- V (Å³/cell) = 91
- density of states at the Fermi level (states/eV/f.u.) = 2.2



## KHgAu2 (GGA-PBE)

Data for a geometry-optimized KHgAu2 structure.

The structure in CIF format:
```
data_KHgAu2
_cell_length_a 10.4733
_cell_length_b 10.4733
_cell_length_c 10.4733
_cell_angle_alpha 17.60
_cell_angle_beta 17.60
_cell_angle_gamma 17.60
_symmetry_space_group_name_H-M 'P 1'
_symmetry_Int_Tables_number 1
loop_
_symmetry_equiv_pos_as_xyz
'x,y,z'
loop_
_atom_site_label
_atom_site_fract_x
_atom_site_fract_y
_atom_site_fract_z
_atom_site_occupancy
K1 0.7500 0.7500 0.7500 1
Au1 0.5045 0.5045 0.5045 1
Au2 0.9955 0.9955 0.9955 1
Hg1 0.2500 0.2500 0.2500 1
```

- ΔH_f (0 K) (eV/atom) = 0.14
- electronic total energy (eV/atom) = -1.8532
- V (Å³/cell) = 92
- density of states at the Fermi level (states/eV/f.u.) = 0.6



## LiAl3V (GGA-PBE)

Data for a geometry-optimized LiAl3V structure.

The structure in CIF format:
```
data_LiAl3V
_cell_length_a 4.8575
_cell_length_b 4.8575
_cell_length_c 4.8575
_cell_angle_alpha 90.00
_cell_angle_beta 90.00
_cell_angle_gamma 90.00
_symmetry_space_group_name_H-M 'P 1'
_symmetry_Int_Tables_number 1
loop_
_symmetry_equiv_pos_as_xyz
'x,y,z'
loop_
_atom_site_label
_atom_site_fract_x
_atom_site_fract_y
_atom_site_fract_z
_atom_site_occupancy
Al1 0.5000 0.0000 0.0000 1
Al2 0.0000 0.0000 0.5000 1
Al3 0.0000 0.5000 0.0000 1
Li1 0.5000 0.5000 0.5000 1
V1 0.0000 0.0000 0.0000 1
```

- excess energy over the best structure of this formula in the dataset (eV/f.u.) = 0.000
- ΔH_f (0 K) (eV/atom) = 0.49
- electronic total energy (eV/atom) = -3.9609
- V (Å³/cell) = 115
- density of states at the Fermi level (states/eV/f.u.) = 3.2



## PuNp3Pa2P6 (GGA-PBE)

Data for a geometry-optimized PuNp3Pa2P6 structure.

The structure in CIF format:
```
data_PuNp3Pa2P6
_cell_length_a 6.8884
_cell_length_b 6.8884
_cell_length_c 6.8661
_cell_angle_alpha 99.62
_cell_angle_beta 99.62
_cell_angle_gamma 119.98
_symmetry_space_group_name_H-M 'P 1'
_symmetry_Int_Tables_number 1
loop_
_symmetry_equiv_pos_as_xyz
'x,y,z'
loop_
_atom_site_label
_atom_site_fract_x
_atom_site_fract_y
_atom_site_fract_z
_atom_site_occupancy
Pa1 0.6665 0.3335 0.0000 1
Pa2 0.3335 0.6665 0.0000 1
P1 0.2500 0.2500 0.7484 1
P2 0.5822 0.9162 0.7487 1
P3 0.0838 0.4178 0.2513 1
P4 0.9162 0.5822 0.7487 1
P5 0.4178 0.0838 0.2513 1
P6 0.7500 0.7500 0.2516 1
Pu1 0.0000 0.0000 0.0000 1
Np1 0.8336 0.1664 0.5000 1
Np2 0.1664 0.8336 0.5000 1
Np3 0.5000 0.5000 0.5000 1
```

- ΔH_f (0 K) (eV/atom) = -1.07
- electronic total energy (eV/atom) = -9.7900
- V (Å³/cell) = 266
- density of states at the Fermi level (states/eV/f.u.) = 34.8